{"formula": "TbZrTlCu", "functional": "PBE", "state": "optimized geometry", "total_magnetization_mub_per_fu": 0.82, "dft_energy_ev_per_atom": -4.976, "vol_a3_per_atom": 22.6, "delta_e_f_kj_per_mol_atoms": -6.3, "space_group": "F-43m (216)", "lattice": [[0.0000, 3.5610, 3.5610], [3.5610, 0.0000, 3.5610], [3.5610, 3.5610, 0.0000]], "species": ["Tb", "Zr", "Tl", "Cu"], "frac_coords": [[0.0000, 0.0000, 0.0000], [0.5000, 0.5000, 0.5000], [0.7500, 0.7500, 0.7500], [0.2500, 0.2500, 0.2500]]}